P) # Eu2PAu

A relaxed Eu2PAu crystal (GGA-PBE, Alexandria via LeMat-Bulk).

Cell: 4.308 4.308 7.567 Å, 73.46 73.46 60.00°
Each line ends with the local moment (μB).
Sites, in units of the cell vectors:
1 Eu 0.260 0.260 0.220  6.77
2 P 0.000 0.000 0.000  -0.09
3 Eu 0.740 0.740 0.780  6.77
4 Au 0.500 0.500 0.500  0.01

Properties
magnetization: 13.971 μB/f.u.
volume: 28.7 Å³/atom

Q) # Eu2PAu

A relaxed Eu2PAu crystal (GGA-PBE, Alexandria via LeMat-Bulk).

Cell: 3.658 3.658 7.337 Å, 90.00 90.00 90.00°
Each line ends with the local moment (μB).
Sites, in units of the cell vectors:
1 Au 0.500 0.500 0.500  0.00
2 Eu 0.000 0.000 0.777  6.78
3 P 0.500 0.500 0.000  -0.16
4 Eu 0.000 0.000 0.223  6.78

Properties
magnetization: 13.706 μB/f.u.
volume: 24.5 Å³/atom

R) # Eu2PAu

A relaxed Eu2PAu crystal (GGA-PBE, Alexandria via LeMat-Bulk).

Cell: 5.197 5.197 5.197 Å, 60.00 60.00 60.00°
Each line ends with the local moment (μB).
Sites, in units of the cell vectors:
1 Eu 0.750 0.750 0.750  6.84
2 P 0.000 0.000 0.000  -0.09
3 Eu 0.250 0.250 0.250  6.84
4 Au 0.500 0.500 0.500  -0.01

Properties
magnetization: 14.000 μB/f.u.
volume: 24.8 Å³/atom

Which of them is most stable, and which least? Most stable: P); least stable: Q).

P) # EuPaAu2

A relaxed EuPaAu2 crystal (GGA-PBE, Alexandria via LeMat-Bulk).

Cell: 3.366 3.366 10.764 Å, 81.00 81.00 60.00°
Each line ends with the local moment (μB).
Sites, in units of the cell vectors:
1 Pa 0.000 0.000 0.000  -0.61
2 Au 0.092 0.092 0.725  -0.04
3 Au 0.908 0.908 0.275  -0.04
4 Eu 0.500 0.500 0.500  6.98

Properties
magnetization: 6.452 μB/f.u.
volume: 26.0 Å³/atom

Q) # EuPaAu2

A relaxed EuPaAu2 crystal (GGA-PBE, Alexandria via LeMat-Bulk).

Cell: 3.555 3.555 7.856 Å, 90.00 90.00 90.00°
Each line ends with the local moment (μB).
Sites, in units of the cell vectors:
1 Pa 0.500 0.500 0.000  1.06
2 Au 0.000 0.000 0.234  0.01
3 Eu 0.500 0.500 0.500  6.85
4 Au 0.000 0.000 0.766  0.01

Properties
magnetization: 8.402 μB/f.u.
volume: 24.8 Å³/atom

R) # EuPaAu2

A relaxed EuPaAu2 crystal (GGA-PBE, Alexandria via LeMat-Bulk).

Cell: 5.179 5.179 5.179 Å, 60.00 60.00 60.00°
Each line ends with the local moment (μB).
Sites, in units of the cell vectors:
1 Pa 0.500 0.500 0.500  -1.01
2 Eu 0.000 0.000 0.000  -6.80
3 Au 0.750 0.750 0.750  0.00
4 Au 0.250 0.250 0.250  0.00

Properties
magnetization: 8.236 μB/f.u.
volume: 24.6 Å³/atom

Which of them is most stable, and which least? Most stable: Q); least stable: P).

P) # EuPdAu

A relaxed EuPdAu crystal (GGA-PBE, Alexandria via LeMat-Bulk).

Cell: 3.767 4.653 4.653 Å, 120.00 90.00 90.00°
Each line ends with the local moment (μB).
Sites, in units of the cell vectors:
1 Pd 0.166 0.333 0.667  -0.04
2 Au 0.167 0.000 0.000  -0.01
3 Eu 0.667 0.667 0.333  6.76

Properties
magnetization: 6.923 μB/f.u.
volume: 23.5 Å³/atom

Q) # EuPdAu

A relaxed EuPdAu crystal (GGA-PBE, Alexandria via LeMat-Bulk).

Cell: 4.734 4.734 4.734 Å, 60.00 60.00 60.00°
Each line ends with the local moment (μB).
Sites, in units of the cell vectors:
1 Pd 0.250 0.250 0.250  -0.03
2 Eu 0.000 0.000 0.000  6.72
3 Au 0.500 0.500 0.500  -0.01

Properties
magnetization: 6.866 μB/f.u.
volume: 25.0 Å³/atom

R) # EuPdAu

A relaxed EuPdAu crystal (GGA-PBE, Alexandria via LeMat-Bulk).

Cell: 3.727 3.727 5.441 Å, 110.03 110.03 90.00°
Each line ends with the local moment (μB).
Sites, in units of the cell vectors:
1 Au 0.295 0.295 0.589  0.01
2 Pd 0.940 0.940 0.879  -0.01
3 Eu 0.616 0.616 0.232  6.74

Properties
magnetization: 6.977 μB/f.u.
volume: 22.0 Å³/atom

Which of them is most stable, and which least? Most stable: P); least stable: R).

P) # EuPd2Au

A relaxed EuPd2Au crystal (GGA-PBE, Alexandria via LeMat-Bulk).

Cell: 4.034 4.350 4.350 Å, 90.00 90.00 90.00°
Each line ends with the local moment (μB).
Sites, in units of the cell vectors:
1 Eu 0.500 0.500 0.500  6.65
2 Au 0.500 0.000 0.000  0.00
3 Pd 0.000 0.000 0.500  -0.03
4 Pd 0.000 0.500 0.000  -0.03

Properties
magnetization: 6.741 μB/f.u.
volume: 19.1 Å³/atom

Q) # EuPd2Au

A relaxed EuPd2Au crystal (GGA-PBE, Alexandria via LeMat-Bulk).

Cell: 4.800 4.800 4.800 Å, 60.00 60.00 60.00°
Each line ends with the local moment (μB).
Sites, in units of the cell vectors:
1 Pd 0.750 0.750 0.750  0.01
2 Pd 0.250 0.250 0.250  0.01
3 Au 0.000 0.000 0.000  -0.01
4 Eu 0.500 0.500 0.500  -6.71

Properties
magnetization: 6.919 μB/f.u.
volume: 19.5 Å³/atom

Which of them is most stable, and which least? Most stable: P); least stable: Q).

P) # Pm2EuAu

A relaxed Pm2EuAu crystal (GGA-PBE, Alexandria via LeMat-Bulk).

Cell: 3.885 3.885 10.607 Å, 79.45 79.45 60.00°
Each line ends with the local moment (μB).
Sites, in units of the cell vectors:
1 Pm 0.732 0.732 0.804  0.00
2 Au 0.000 0.000 0.000  -0.03
3 Pm 0.268 0.268 0.196  0.00
4 Eu 0.500 0.500 0.500  6.95

Properties
magnetization: 7.341 μB/f.u.
volume: 33.9 Å³/atom

Q) # Pm2EuAu

A relaxed Pm2EuAu crystal (GGA-PBE, Alexandria via LeMat-Bulk).

Cell: 3.736 3.736 9.040 Å, 90.00 90.00 90.00°
Each line ends with the local moment (μB).
Sites, in units of the cell vectors:
1 Au 0.500 0.500 0.000  0.03
2 Pm 0.000 0.000 0.194  0.24
3 Eu 0.500 0.500 0.500  7.05
4 Pm 0.000 0.000 0.806  0.24

Properties
magnetization: 8.730 μB/f.u.
volume: 31.5 Å³/atom

Which of them is most stable, and which least? Most stable: Q); least stable: P).

P) # PrEuAu

A relaxed PrEuAu crystal (GGA-PBE, Alexandria via LeMat-Bulk).

Cell: 5.191 5.191 5.191 Å, 60.00 60.00 60.00°
Each line ends with the local moment (μB).
Sites, in units of the cell vectors:
1 Pr 0.500 0.500 0.500  -0.06
2 Eu 0.000 0.000 0.000  -6.84
3 Au 0.250 0.250 0.250  0.00

Properties
magnetization: 7.204 μB/f.u.
volume: 33.0 Å³/atom

Q) # PrEuAu

A relaxed PrEuAu crystal (GGA-PBE, Alexandria via LeMat-Bulk).

Cell: 3.777 3.777 7.098 Å, 105.43 105.43 90.00°
Each line ends with the local moment (μB).
Sites, in units of the cell vectors:
1 Pr 0.300 0.300 0.599  0.09
2 Eu 0.028 0.028 0.056  6.90
3 Au 0.672 0.672 0.345  0.00

Properties
magnetization: 7.441 μB/f.u.
volume: 31.3 Å³/atom

Which of them is most stable, and which least? Most stable: Q); least stable: P).

P) # Pr2EuAu

A relaxed Pr2EuAu crystal (GGA-PBE, Alexandria via LeMat-Bulk).

Cell: 3.918 3.918 10.732 Å, 79.48 79.48 60.00°
Each line ends with the local moment (μB).
Sites, in units of the cell vectors:
1 Pr 0.267 0.267 0.198  0.00
2 Pr 0.733 0.733 0.802  0.00
3 Eu 0.500 0.500 0.500  -6.95
4 Au 0.000 0.000 0.000  0.02

Properties
magnetization: 7.375 μB/f.u.
volume: 34.9 Å³/atom

Q) # Pr2EuAu

A relaxed Pr2EuAu crystal (GGA-PBE, Alexandria via LeMat-Bulk).

Cell: 3.786 3.786 9.114 Å, 90.00 90.00 90.00°
Each line ends with the local moment (μB).
Sites, in units of the cell vectors:
1 Au 0.500 0.500 0.000  -0.03
2 Pr 0.000 0.000 0.804  -0.24
3 Pr 0.000 0.000 0.196  -0.24
4 Eu 0.500 0.500 0.500  -7.05

Properties
magnetization: 8.812 μB/f.u.
volume: 32.7 Å³/atom

Which of them is most stable, and which least? Most stable: Q); least stable: P).

P) # Eu2PuAu

A relaxed Eu2PuAu crystal (GGA-PBE, Alexandria via LeMat-Bulk).

Cell: 3.712 3.712 8.829 Å, 90.00 90.00 90.00°
Each line ends with the local moment (μB).
Sites, in units of the cell vectors:
1 Eu 0.000 0.000 0.208  6.96
2 Eu 0.000 0.000 0.792  6.96
3 Pu 0.500 0.500 0.500  5.87
4 Au 0.500 0.500 0.000  0.01

Properties
magnetization: 21.377 μB/f.u.
volume: 30.4 Å³/atom

Q) # Eu2PuAu

A relaxed Eu2PuAu crystal (GGA-PBE, Alexandria via LeMat-Bulk).

Cell: 5.425 5.425 5.433 Å, 60.05 60.05 60.00°
Each line ends with the local moment (μB).
Sites, in units of the cell vectors:
1 Pu 0.000 0.000 0.000  -5.63
2 Eu 0.750 0.750 0.749  6.67
3 Eu 0.250 0.250 0.251  6.67
4 Au 0.500 0.500 0.500  -0.03

Properties
magnetization: 7.579 μB/f.u.
volume: 28.3 Å³/atom

Which of them is most stable, and which least? Most stable: P); least stable: Q).

P) # RbEuAu2

A relaxed RbEuAu2 crystal (GGA-PBE, Alexandria via LeMat-Bulk).

Cell: 5.513 5.513 5.513 Å, 60.00 60.00 60.00°
Each line ends with the local moment (μB).
Sites, in units of the cell vectors:
1 Au 0.750 0.750 0.750  0.01
2 Au 0.250 0.250 0.250  0.01
3 Rb 0.000 0.000 0.000  0.02
4 Eu 0.500 0.500 0.500  6.96

Properties
magnetization: 7.470 μB/f.u.
volume: 29.6 Å³/atom

Q) # RbEuAu2

A relaxed RbEuAu2 crystal (GGA-PBE, Alexandria via LeMat-Bulk).

Cell: 3.921 3.921 8.151 Å, 90.00 90.00 90.00°
Each line ends with the local moment (μB).
Sites, in units of the cell vectors:
1 Au 0.000 0.000 0.191  0.00
2 Eu 0.500 0.500 0.000  6.86
3 Au 0.000 0.000 0.809  0.00
4 Rb 0.500 0.500 0.500  0.01

Properties
magnetization: 7.220 μB/f.u.
volume: 31.3 Å³/atom

R) # RbEuAu2

A relaxed RbEuAu2 crystal (GGA-PBE, Alexandria via LeMat-Bulk).

Cell: 5.194 5.194 6.612 Å, 66.88 66.88 60.00°
Each line ends with the local moment (μB).
Sites, in units of the cell vectors:
1 Au 0.209 0.209 0.374  0.00
2 Rb 0.000 0.000 0.000  0.01
3 Au 0.791 0.791 0.626  0.00
4 Eu 0.500 0.500 0.500  6.88

Properties
magnetization: 7.219 μB/f.u.
volume: 34.4 Å³/atom

Which of them is most stable, and which least? Most stable: Q); least stable: P).

P) # Eu2AuS

A relaxed Eu2AuS crystal (GGA-PBE, Alexandria via LeMat-Bulk).

Cell: 4.198 4.198 7.697 Å, 74.17 74.17 60.00°
Each line ends with the local moment (μB).
Sites, in units of the cell vectors:
1 Au 0.500 0.500 0.500  0.05
2 Eu 0.743 0.743 0.771  6.91
3 S 0.000 0.000 0.000  -0.06
4 Eu 0.257 0.257 0.229  6.91

Properties
magnetization: 14.743 μB/f.u.
volume: 27.9 Å³/atom

Q) # Eu2AuS

A relaxed Eu2AuS crystal (GGA-PBE, Alexandria via LeMat-Bulk).

Cell: 3.657 3.657 7.368 Å, 90.00 90.00 90.00°
Each line ends with the local moment (μB).
Sites, in units of the cell vectors:
1 Eu 0.000 0.000 0.234  6.92
2 Au 0.500 0.500 0.500  0.02
3 Eu 0.000 0.000 0.766  6.92
4 S 0.500 0.500 0.000  -0.06

Properties
magnetization: 14.393 μB/f.u.
volume: 24.6 Å³/atom

Which of them is most stable, and which least? Most stable: P); least stable: Q).

P) # EuSbAu2

A relaxed EuSbAu2 crystal (GGA-PBE, Alexandria via LeMat-Bulk).

Cell: 4.367 4.630 4.630 Å, 90.00 90.00 90.00°
Each line ends with the local moment (μB).
Sites, in units of the cell vectors:
1 Au 0.000 0.500 0.000  0.00
2 Sb 0.500 0.000 0.000  0.01
3 Au 0.000 0.000 0.500  0.00
4 Eu 0.500 0.500 0.500  -6.74

Properties
magnetization: 6.910 μB/f.u.
volume: 23.4 Å³/atom

Q) # EuSbAu2

A relaxed EuSbAu2 crystal (GGA-PBE, Alexandria via LeMat-Bulk).

Cell: 3.879 3.879 6.372 Å, 90.00 90.00 90.00°
Each line ends with the local moment (μB).
Sites, in units of the cell vectors:
1 Au 0.000 0.000 0.253  -0.01
2 Au 0.000 0.000 0.747  -0.01
3 Sb 0.500 0.500 0.500  -0.01
4 Eu 0.500 0.500 0.000  6.72

Properties
magnetization: 6.861 μB/f.u.
volume: 24.0 Å³/atom

R) # EuSbAu2

A relaxed EuSbAu2 crystal (GGA-PBE, Alexandria via LeMat-Bulk).

Cell: 5.094 5.094 5.094 Å, 60.00 60.00 60.00°
Each line ends with the local moment (μB).
Sites, in units of the cell vectors:
1 Au 0.250 0.250 0.250  -0.02
2 Eu 0.000 0.000 0.000  6.74
3 Au 0.750 0.750 0.750  -0.02
4 Sb 0.500 0.500 0.500  -0.02

Properties
magnetization: 6.815 μB/f.u.
volume: 23.4 Å³/atom

Which of them is most stable, and which least? Most stable: R); least stable: Q).

P) # EuScAu2

A relaxed EuScAu2 crystal (GGA-PBE, Alexandria via LeMat-Bulk).

Cell: 3.529 3.529 7.297 Å, 90.00 90.00 90.00°
Each line ends with the local moment (μB).
Sites, in units of the cell vectors:
1 Au 0.000 0.000 0.792  0.01
2 Sc 0.500 0.500 0.000  0.03
3 Eu 0.500 0.500 0.500  6.85
4 Au 0.000 0.000 0.208  0.01

Properties
magnetization: 7.190 μB/f.u.
volume: 22.7 Å³/atom

Q) # EuScAu2

A relaxed EuScAu2 crystal (GGA-PBE, Alexandria via LeMat-Bulk).

Cell: 3.519 5.075 5.075 Å, 90.00 90.00 90.00°
Each line ends with the local moment (μB).
Sites, in units of the cell vectors:
1 Sc 0.500 0.000 0.000  -0.04
2 Au 0.000 0.000 0.500  0.00
3 Eu 0.500 0.500 0.500  6.80
4 Au 0.000 0.500 0.000  0.00

Properties
magnetization: 6.955 μB/f.u.
volume: 22.7 Å³/atom

Which of them is most stable, and which least? Most stable: P); least stable: Q).